# 1
A relaxed AcPm4P5 crystal. Source: Alexandria, functional GGA-PBE.

The total moment is 0.0 μB per cell. The calculation puts the formation energy at -1.52 eV/atom. Its density of states at the Fermi level is 1.10 states/eV/f.u.

The space group is C2/m (No. 12) and the conventional cell measures 13.9140, 4.1980 and 10.2957 Å, with angles of 90.00, 119.50 and 90.00 degrees. The asymmetric unit holds Ac at (0.0000, 0.0000, 0.0000), Pm at (0.0987, 0.5000, 0.4013), Pm at (0.2001, 0.0000, 0.7950), P at (0.0000, 0.0000, 0.5000), P at (0.1058, 0.5000, 0.8944) and P at (0.2034, 0.0000, 0.3086).

---

# 2
A relaxed NaDy4ErSe8 crystal. Source: Alexandria, functional GGA-PBE.

The value obtained for the formation energy without anion corrections is -170.7 kJ/mol of atoms. The total moment is 0.0 μB per cell. Its density of states at the Fermi level is 0.00 states/eV/f.u.

The space group is R3m (No. 160, hexagonal axes) and the conventional cell measures 8.4554, 8.4554 and 20.6389 Å, with angles of 90.00, 90.00 and 120.00 degrees. The asymmetric unit holds Na at (0.0000, 0.0000, 0.0000), Dy at (0.0000, 0.0000, 0.7507), Dy at (0.0131, 0.5066, 0.8771), Er at (0.0000, 0.0000, 0.3704), Se at (0.0000, 0.0000, 0.1352), Se at (0.0000, 0.0000, 0.6174), Se at (0.0231, 0.5115, 0.1275) and Se at (0.1804, 0.3608, 0.9561).

---

# 3
A relaxed AcPaAgO6 crystal. Source: Alexandria, functional GGA-PBE.

The value obtained for the formation energy without anion corrections is -202.7 kJ/mol of atoms. The total moment is 0.0 μB per cell. Its density of states at the Fermi level is 6.69 states/eV/f.u.

The space group is P312 (No. 149) and the conventional cell measures 5.7205, 5.7205 and 4.9890 Å, with angles of 90.00, 90.00 and 120.00 degrees. The asymmetric unit holds Ac at (0.0000, 0.0000, 0.0000), Pa at (0.6667, 0.3333, 0.5000), Ag at (0.3333, 0.6667, 0.0000) and O at (0.3788, 0.0083, 0.2520).

---

# 4
A relaxed KTaAl2Pt crystal. Source: Alexandria, functional GGA-PBE.

The total moment is 1.5 μB per cell. The calculation puts the formation energy at 0.45 eV/atom. Its density of states at the Fermi level is 3.79 states/eV/f.u.

The space group is P4/mmm (No. 123) and the conventional cell measures 4.8560, 4.8560 and 5.2055 Å, with angles of 90.00, 90.00 and 90.00 degrees. The asymmetric unit holds K at (0.0000, 0.0000, 0.0000), Ta at (0.5000, 0.5000, 0.0000), Al at (0.0000, 0.5000, 0.5000) and Pt at (0.5000, 0.5000, 0.5000).

---

# 5
A relaxed PuReP2 crystal. Source: Alexandria, functional GGA-PBE.

The calculation puts the energy above the most stable polymorph in this dataset at 0.000 eV/atom. The total moment is 10.3 μB per cell. The calculation puts the formation energy at -0.43 eV/atom. Its density of states at the Fermi level is 7.17 states/eV/f.u.

The space group is Cm (No. 8) and the conventional cell measures 12.7116, 3.6845 and 3.2417 Å, with angles of 90.00, 103.78 and 90.00 degrees. The asymmetric unit holds Pu at (0.0000, 0.0000, 0.0000), Re at (0.2431, 0.0000, 0.7592), P at (0.1442, 0.5000, 0.4900) and P at (0.3819, 0.0000, 0.3946).

---

# 6
A relaxed Tb2ZrNb crystal. Source: Alexandria, functional GGA-PBE.

The total moment is 1.8 μB per cell. The calculation puts the formation energy at 0.52 eV/atom. Its density of states at the Fermi level is 5.83 states/eV/f.u.

The space group is R-3m (No. 166, hexagonal axes) and the conventional cell measures 3.2335, 3.2335 and 33.7162 Å, with angles of 90.00, 90.00 and 120.00 degrees. The asymmetric unit holds Tb at (0.0000, 0.0000, 0.0865), Zr at (0.0000, 0.0000, 0.5000) and Nb at (0.0000, 0.0000, 0.0000).

---

# 7
A relaxed La3Pr2PuAs6 crystal. Source: Alexandria, functional GGA-PBE.

The total moment is 9.7 μB per cell. The calculation puts the formation energy at -1.44 eV/atom. Its density of states at the Fermi level is 16.46 states/eV/f.u.

The space group is C2/m (No. 12) and the conventional cell measures 18.7992, 4.3176 and 8.6313 Å, with angles of 90.00, 103.31 and 90.00 degrees. The asymmetric unit holds La at (0.0000, 0.0000, 0.0000), La at (0.1676, 0.5000, 0.3338), Pr at (0.1665, 0.5000, 0.8337), Pu at (0.0000, 0.0000, 0.5000), As at (0.9999, 0.5000, 0.2616), As at (0.1625, 0.0000, 0.5827) and As at (0.1670, 0.0000, 0.0827).

---

# 8
A relaxed EuLuMgAg crystal. Source: Alexandria, functional GGA-PBE.

The total moment is 28.7 μB per cell. The calculation puts the formation energy at -0.11 eV/atom. Its density of states at the Fermi level is 4.87 states/eV/f.u.

The space group is F-43m (No. 216) and the conventional cell measures 7.5184, 7.5184 and 7.5184 Å, with angles of 90.00, 90.00 and 90.00 degrees. The asymmetric unit holds Eu at (0.0000, 0.0000, 0.0000), Lu at (0.0000, 0.0000, 0.5000), Mg at (0.2500, 0.2500, 0.2500) and Ag at (0.2500, 0.2500, 0.7500).

---

# 9
A relaxed Ag7SeS2F2 crystal. Source: Alexandria, functional GGA-PBE.

The value obtained for the formation energy without anion corrections is -30.4 kJ/mol of atoms. The total moment is 0.0 μB per cell. Its density of states at the Fermi level is 6.42 states/eV/f.u.

The space group is Imm2 (No. 44) and the conventional cell measures 4.3306, 23.2989 and 5.0201 Å, with angles of 90.00, 90.00 and 90.00 degrees. The asymmetric unit holds Ag at (0.0000, 0.0000, 0.0000), Ag at (0.0000, 0.1205, 0.6347), Ag at (0.0000, 0.2220, 0.1413), Ag at (0.0000, 0.4290, 0.7945), Se at (0.0000, 0.5000, 0.1919), S at (0.0000, 0.1145, 0.1303) and F at (0.0000, 0.2293, 0.6407).

---

# 10
A relaxed KTa5Se8 crystal. Source: Alexandria, functional GGA-PBE.

The value obtained for the formation energy without anion corrections is -76.8 kJ/mol of atoms. The total moment is 0.0 μB per cell. Its density of states at the Fermi level is 5.57 states/eV/f.u.

The space group is C2/m (No. 12) and the conventional cell measures 18.8354, 3.4470 and 9.4769 Å, with angles of 90.00, 104.39 and 90.00 degrees. The asymmetric unit holds K at (0.0000, 0.0000, 0.0000), Ta at (0.0000, 0.5000, 0.5000), Ta at (0.1389, 0.0000, 0.5044), Ta at (0.2124, 0.0000, 0.8715), Se at (0.0706, 0.0000, 0.7007), Se at (0.0839, 0.5000, 0.3090), Se at (0.1508, 0.5000, 0.0084) and Se at (0.2406, 0.5000, 0.6601).

---

# 11
A relaxed Na3Ga crystal. Source: Alexandria, functional GGA-PBE.

The total moment is 0.0 μB per cell. The calculation puts the formation energy at 0.04 eV/atom. Its density of states at the Fermi level is 2.08 states/eV/f.u.

The space group is Imm2 (No. 44) and the conventional cell measures 3.7785, 10.9149 and 5.4343 Å, with angles of 90.00, 90.00 and 90.00 degrees. The asymmetric unit holds Na at (0.0000, 0.0000, 0.0000), Na at (0.0000, 0.2288, 0.4966) and Ga at (0.0000, 0.5000, 0.0011).

---

# 12
A relaxed PmZr2Cl8 crystal. Source: Alexandria, functional GGA-PBE.

The value obtained for the formation energy without anion corrections is -157.2 kJ/mol of atoms. The total moment is 0.0 μB per cell. Its density of states at the Fermi level is 2.45 states/eV/f.u.

The space group is C2/m (No. 12) and the conventional cell measures 11.6058, 11.3249 and 6.3536 Å, with angles of 90.00, 95.41 and 90.00 degrees. The asymmetric unit holds Pm at (0.0000, 0.0000, 0.0000), Zr at (0.1963, 0.0000, 0.3664), Cl at (0.1089, 0.1878, 0.2461), Cl at (0.1193, 0.5000, 0.7589) and Cl at (0.1910, 0.0000, 0.7532).